No. 1
The following is a DFT calculation (PBE) of crystalline HPdPtW2 at its relaxed geometry.

Calculated values
Energy, Ry per atom: -0.58977
Excess energy over the best structure of this formula in the dataset, meV per atom: 0.0
N(E_F), states/eV/f.u.: 4.695

a = 3.935 Å, b = 3.935 Å, c = 4.174 Å
α = 90.00°, β = 90.00°, γ = 90.00°
Space group P4/mmm (No. 123)
Inequivalent atoms, fractional coordinates:
1 H 0.000 0.000 0.000 [1 per cell]
2 Pd 0.000 0.000 0.500 [1 per cell]
3 Pt 0.500 0.500 0.500 [1 per cell]
4 W 0.000 0.500 0.000 [2 per cell]

=====

No. 2
The following is a DFT calculation (PBE) of crystalline Nd3Hg2BRh3 at its relaxed geometry.

Calculated values
Energy, Ry per atom: -0.38922
Formation energy, eV/atom: -0.45
N(E_F), states/eV/f.u.: 6.024

a = 7.8119 Å, b = 7.8119 Å, c = 3.5783 Å
α = 90.00°, β = 90.00°, γ = 120.00°
Space group P-62m (No. 189)
Inequivalent atoms, fractional coordinates:
1 Nd 0.0000 0.3528 0.0000 [3 per cell]
2 Hg 0.3333 0.6667 0.5000 [2 per cell]
3 B 0.0000 0.0000 0.0000 [1 per cell]
4 Rh 0.0000 0.7968 0.5000 [3 per cell]

=====

No. 3
The following is a DFT calculation (PBE) of crystalline Pa2WAu at its relaxed geometry.

Calculated values
Energy, Ry per atom: -0.59028
Excess energy over the best structure of this formula in the dataset, meV per atom: 728.8
Formation energy, eV/atom: 0.77
N(E_F), states/eV/f.u.: 4.927

a = 3.9981 Å, b = 3.9981 Å, c = 26.2896 Å
α = 90.00°, β = 90.00°, γ = 120.00°
Space group R-3m (No. 166, hexagonal axes)
Inequivalent atoms, fractional coordinates:
1 Pa 0.0000 0.0000 0.1096 [6 per cell]
2 W 0.0000 0.0000 0.5000 [3 per cell]
3 Au 0.0000 0.0000 0.0000 [3 per cell]

=====

| no. | spin magnetization (μB/cell) |
| --- | --- |
| 1 | 0.00 |
| 2 | 0.00 |
| 3 | 0.00 |